Record 1
Material: V2ReHgPt
Method: DFT, GGA-PBE
State: relaxed

Unit cell a=4.636 b=4.813 c=4.636 alpha=90.00 beta=90.00 gamma=90.00
Element x y z (fractional)
Re 0.000 0.500 0.000
Hg 0.500 0.500 0.500
Pt 0.000 0.000 0.000
V 0.000 0.000 0.500
V 0.500 0.000 0.000

Summary:
Its formation energy is 1394 meV per atom.

***

Record 2
Material: CaZnOs
Method: DFT, GGA-PBE
State: relaxed

Unit cell a=4.647 b=4.647 c=4.647 alpha=60.00 beta=60.00 gamma=60.00
Element x y z (fractional)
Zn 0.500 0.500 0.500
Os 0.000 0.000 0.000
Ca 0.250 0.250 0.250

Summary:
Its formation energy is 1413 meV per atom.

***

Record 3
Material: Tm4CuOs
Method: DFT, GGA-PBE
State: relaxed

Unit cell a=6.805 b=6.779 c=6.755 alpha=90.00 beta=88.16 gamma=90.00
Element x y z (fractional)
Tm 0.828 0.663 0.156
Tm 0.672 0.163 0.844
Tm 0.346 0.337 0.332
Tm 0.154 0.837 0.668
Tm 0.172 0.337 0.844
Tm 0.328 0.837 0.156
Tm 0.654 0.663 0.668
Tm 0.846 0.163 0.332
Cu 0.500 0.000 0.500
Cu 0.000 0.500 0.500
Os 0.000 0.000 0.000
Os 0.500 0.500 0.000

Summary:
The distance to the lowest polymorph of the same formula is 68 meV/atom. Its formation energy is -136 meV per atom.

***

One value per record, in order, for raw total energy: -30.059; -10.266; -68.054 eV for the cell shown.